i) Nd2TmTl2 (PBE, optimized geometry); magnetization = 0.00 μB per atom; crystal system = orthorhombic
1.0
-2.1829 4.3629 0.3149
-3.9730 0.4064 4.7751
2.2203 3.5154 4.6329
Tl Tm Nd
2 1 2
Cartesian
-0.5905 4.8338 4.8298 Tl
-3.3452 3.4509 4.8931 Tl
0.0000 0.0000 0.0000 Tm
-2.9759 6.2383 6.7810 Nd
-0.9597 2.0464 2.9419 Nd

---

ii) Nd2TmTl2 (PBE, optimized geometry); magnetization = 0.00 μB per atom; crystal system = tetragonal
1.0
4.6108 0.0000 0.0000
0.0000 8.1866 0.0000
0.0000 0.0000 8.1866
Tm Tl Nd
2 4 4
Cartesian
0.0000 0.0000 0.0000 Tm
0.0000 4.0933 4.0933 Tm
0.0000 3.0174 7.1107 Tl
0.0000 1.0759 3.0174 Tl
0.0000 5.1692 1.0759 Tl
0.0000 7.1107 5.1692 Tl
2.3054 5.4958 6.7840 Nd
2.3054 6.7840 2.6907 Nd
2.3054 1.4025 5.4958 Nd
2.3054 2.6907 1.4025 Nd

---

Of them, the most stable is ii) and the least stable is i).

---

i) Nd3TmTl4 (PBE, optimized geometry); magnetization = 0.00 μB per atom; crystal system = tetragonal
1.0
3.8284 0.0000 0.0000
0.0000 3.8284 0.0000
0.0000 0.0000 15.7852
Tl Nd Tm
4 3 1
Cartesian
0.0000 0.0000 1.7894 Tl
0.0000 0.0000 9.9302 Tl
0.0000 0.0000 13.9958 Tl
0.0000 0.0000 5.8550 Tl
1.9142 1.9142 3.8312 Nd
1.9142 1.9142 7.8926 Nd
1.9142 1.9142 11.9540 Nd
1.9142 1.9142 0.0000 Tm

---

ii) Nd3TmTl4 (PBE, optimized geometry); magnetization = 0.04 μB per atom; crystal system = orthorhombic
1.0
3.6993 0.0000 0.0000
0.0000 7.1768 -0.7991
-1.8497 -2.5432 9.7533
Nd Tl Tm
3 4 1
Cartesian
1.8497 4.1741 4.8430 Nd
0.0000 3.5884 -0.3995 Nd
0.0000 0.4595 4.1113 Nd
1.8497 5.4214 1.7616 Tl
0.0000 -0.7878 7.1926 Tl
1.8497 2.2773 2.1124 Tl
0.0000 2.3563 6.8418 Tl
1.8497 0.0000 0.0000 Tm

---

Of them, the most stable is i) and the least stable is ii).

---

i) NdTm6Tl (PBE, optimized geometry); magnetization = 0.00 μB per atom; crystal system = orthorhombic
1.0
5.2625 0.0000 0.0000
0.0000 6.7705 -0.8146
0.0000 -0.7284 6.7803
Tm Tl Nd
6 1 1
Cartesian
2.6312 -0.3642 3.3902 Tm
0.0000 1.2997 1.2832 Tm
0.0000 4.6559 1.3270 Tm
2.6312 3.3853 -0.4073 Tm
0.0000 1.3861 4.6387 Tm
0.0000 4.7424 4.6825 Tm
2.6312 0.0000 0.0000 Tl
2.6312 3.0210 2.9829 Nd

---

ii) NdTm6Tl (PBE, optimized geometry); magnetization = 0.00 μB per atom; crystal system = monoclinic
1.0
6.0251 0.6518 -1.6225
-1.6366 5.8351 -1.6225
-2.5162 -3.7193 8.6010
Nd Tm Tl
1 6 1
Cartesian
0.0000 0.0000 0.0000 Nd
3.6583 0.2201 0.9896 Tm
1.8738 2.7697 -0.0492 Tm
-1.1567 3.4776 0.9896 Tm
-0.0014 -0.0021 5.4052 Tm
3.0291 -0.7100 4.3664 Tm
-1.7860 2.5475 4.3664 Tm
0.9362 1.3838 2.6780 Tl

---

Of them, the most stable is i) and the least stable is ii).

---

i) Nd5Tm4Tl (PBE, optimized geometry); magnetization = 0.00 μB per atom; crystal system = tetragonal
1.0
4.1328 0.0000 0.0000
0.0000 4.1328 0.0000
0.0000 0.0000 18.8181
Nd Tm Tl
5 4 1
Cartesian
2.0664 2.0664 9.4090 Nd
2.0664 2.0664 17.0704 Nd
2.0664 2.0664 1.7477 Nd
2.0664 2.0664 5.5790 Nd
2.0664 2.0664 13.2391 Nd
0.0000 0.0000 3.7182 Tm
0.0000 0.0000 11.3288 Tm
0.0000 0.0000 7.4892 Tm
0.0000 0.0000 15.0998 Tm
0.0000 0.0000 0.0000 Tl

---

ii) Nd5Tm4Tl (PBE, optimized geometry); magnetization = 0.00 μB per atom; crystal system = tetragonal
1.0
6.2291 0.0000 0.0000
3.1146 7.3941 0.0000
3.1146 0.0000 7.3941
Nd Tm Tl
5 4 1
Cartesian
9.1303 2.8425 6.7277 Nd
6.0158 0.6665 2.8425 Nd
6.0158 6.7277 4.5516 Nd
3.9656 0.0000 0.0000 Nd
2.9012 4.5516 0.6665 Nd
5.9889 4.3960 2.2626 Tm
9.1035 5.1315 4.3960 Tm
2.8744 2.2626 2.9981 Tm
5.9889 2.9981 5.1315 Tm
1.0272 0.0000 0.0000 Tl

---

Of them, the most stable is i) and the least stable is ii).

---

i) Nd2Tm2Tl (PBE, optimized geometry); magnetization = 0.00 μB per atom; crystal system = monoclinic
1.0
8.5521 0.0000 0.5498
4.2760 4.7415 0.2749
4.2333 0.0000 7.9608
Nd Tl Tm
4 2 4
Cartesian
10.8910 1.7730 2.9218 Nd
6.6150 2.9685 2.6469 Nd
10.4465 1.7730 6.1386 Nd
6.1705 2.9685 5.8637 Nd
4.2761 3.1275 0.2749 Tl
8.5521 1.6140 0.5498 Tl
5.7093 0.0000 1.2209 Tm
4.7961 0.0000 4.6309 Tm
7.9894 0.0000 3.8797 Tm
7.0762 0.0000 7.2897 Tm

---

ii) Nd2Tm2Tl (PBE, optimized geometry); magnetization = 0.00 μB per atom; crystal system = hexagonal
1.0
5.4628 0.0000 0.0000
-2.7314 4.7309 0.0000
0.0000 0.0000 12.1719
Nd Tl Tm
4 2 4
Cartesian
0.0000 3.1539 11.1180 Nd
0.0000 3.1539 7.1399 Nd
2.7314 1.5770 5.0320 Nd
2.7314 1.5770 1.0539 Nd
0.0000 0.0000 3.0430 Tl
0.0000 0.0000 9.1289 Tl
2.7314 1.5770 9.1289 Tm
0.0000 0.0000 6.0860 Tm
0.0000 0.0000 0.0000 Tm
0.0000 3.1539 3.0430 Tm

---

Of them, the most stable is i) and the least stable is ii).

---

i) Nd3TmTl (PBE, optimized geometry); magnetization = 0.00 μB per atom; crystal system = orthorhombic
1.0
5.6845 0.0000 1.2990
0.0000 5.7860 0.0000
0.7646 0.0000 9.7412
Nd Tm Tl
6 2 2
Cartesian
3.6490 1.4465 5.6039 Nd
0.8011 4.3395 4.9795 Nd
5.6850 4.3395 9.7816 Nd
1.6059 4.3395 1.4577 Nd
2.8442 1.4465 9.1257 Nd
4.4496 1.4465 2.1008 Nd
1.2308 1.4465 3.0991 Tm
3.2193 4.3395 7.4843 Tm
4.0478 4.3395 3.8589 Tl
6.0868 1.4465 8.0235 Tl

---

ii) Nd3TmTl (PBE, optimized geometry); magnetization = 0.00 μB per atom; crystal system = monoclinic
1.0
-0.1500 3.9160 -5.2386
-10.4599 2.3829 2.0808
5.8118 6.3192 4.5574
Tl Nd Tm
4 12 4
Cartesian
-2.8246 6.6795 -0.8049 Tl
0.3596 1.3492 -0.7956 Tl
-5.1578 11.2690 2.1952 Tl
-1.9736 5.9387 2.2046 Tl
-4.3340 3.6687 1.6311 Nd
0.5207 5.5013 0.2292 Nd
-2.0768 3.5272 -1.2931 Nd
-0.4641 8.9494 -0.2314 Nd
3.7722 6.4105 1.8345 Nd
-1.7364 8.1022 5.8895 Nd
-8.5703 6.2077 -0.4348 Nd
-4.3294 6.0121 4.5224 Nd
-2.7213 9.0909 2.6928 Nd
-3.0618 4.5159 -4.4899 Nd
-5.3188 7.1169 1.1704 Nd
-0.4688 6.6060 -3.1228 Nd
0.7088 7.8074 2.9253 Tm
2.5978 7.5919 -1.3750 Tm
-7.3959 5.0262 2.7747 Tm
-5.5069 4.8107 -1.5256 Tm

---

Of them, the most stable is i) and the least stable is ii).